An optimized crystal structure of Zn2CuWO6. Source: Alexandria, functional PBE+U.

The structure in POSCAR format:
```
Zn2CuWO6
1.0
4.970 0.000 0.000
0.000 5.181 0.000
-4.882 0.000 9.009
Zn Cu W O
4 2 2 12
Cartesian
-0.081 0.210 2.229
-2.522 2.380 6.734
2.610 2.800 2.276
0.169 4.971 6.780
-2.441 0.000 4.505
0.000 2.590 0.000
2.485 0.000 0.000
0.044 2.590 4.505
-3.455 3.800 7.896
-1.014 3.970 3.391
-3.804 1.184 8.659
-1.362 1.406 4.155
-1.528 0.668 7.398
0.913 1.922 2.893
-0.825 3.258 6.116
1.616 4.513 1.611
1.450 3.774 4.855
3.892 3.996 0.350
1.101 1.210 5.618
3.543 1.380 1.114
```

Computed properties:
Volume: 11.6 Å³ per atom
VASP energy: -5.7538 eV per atom
Density: 6.8 g/cm3
Spin magnetization: 2.00 Bohr magnetons per cell